## YTlAg2Rh (PBE-GGA)

Data for YTlAg2Rh after structural relaxation.

The structure in POSCAR format:
```
YTlAg2Rh
1.0
-3.509 1.524 -3.545
2.727 -2.102 -3.604
-2.596 -4.477 0.646
Y Tl Rh Ag
1 1 1 2
direct
0.000 0.500 0.000 Y
0.500 0.500 0.500 Tl
0.000 0.000 0.000 Rh
0.000 0.000 0.500 Ag
0.500 0.000 0.000 Ag
```

The value obtained for the density of states at the Fermi level is 2.56 states/eV per cell. The value obtained for the formation energy from the elements is 0.19 eV/atom. The magnetic moment is 0.00 μB per atom.